# Sm2HfScPt2 PBE-GGA optimized geometry
# E_tot: -7.18 eV/atom
# Energy of formation: -85.27 kJ/mol of atoms
# Crystal system: orthorhombic
data_Sm2HfScPt2
_cell_length_a 6.5146
_cell_length_b 13.7311
_cell_length_c 6.5035
_cell_angle_alpha 90.00
_cell_angle_beta 90.00
_cell_angle_gamma 90.00
_space_group_name_H-M_alt 'I b a m'
_space_group_IT_number 72
_space_group_name_Hall '-I 2 2c'
loop_
_atom_site_label
_atom_site_fract_x
_atom_site_fract_y
_atom_site_fract_z
Sm1 0.2455 0.1856 0.0000
Hf1 0.0000 0.5000 0.2500
Sc1 0.0000 0.0000 0.2500
Pt1 0.2428 0.3941 0.0000

=====

# Tb4Bi5C PBE-GGA optimized geometry
# E_tot: -5.15 eV/atom
# Energy of formation: -41.56 kJ/mol of atoms
# Crystal system: monoclinic
data_Tb4Bi5C
_cell_length_a 18.6345
_cell_length_b 4.0014
_cell_length_c 8.0384
_cell_angle_alpha 90.00
_cell_angle_beta 90.97
_cell_angle_gamma 90.00
_space_group_name_H-M_alt 'C 1 2/m 1'
_space_group_IT_number 12
loop_
_space_group_symop_operation_xyz
'x,y,z'
'-x,-y,-z'
'-x,y,-z'
'x,-y,z'
'x+1/2,y+1/2,z'
'-x+1/2,-y+1/2,-z'
'-x+1/2,y+1/2,-z'
'x+1/2,-y+1/2,z'
loop_
_atom_site_label
_atom_site_fract_x
_atom_site_fract_y
_atom_site_fract_z
Tb1 0.0384 0.0000 0.3158
Tb2 0.1185 0.5000 0.6391
Bi1 0.0000 0.5000 0.0000
Bi2 0.1350 0.0000 0.9563
Bi3 0.2090 0.0000 0.3704
C1 0.0000 0.5000 0.5000

=====

# ReSeCl2 PBE-GGA optimized geometry
# E_tot: -4.23 eV/atom
# ΔE_f (raw): 0.68 eV/atom
# Crystal system: tetragonal
# Energy above the most stable polymorph in this dataset: 20.13 kcal/mol of atoms
data_ReSeCl2
_cell_length_a 2.9774
_cell_length_b 2.9774
_cell_length_c 9.2782
_cell_angle_alpha 90.00
_cell_angle_beta 90.00
_cell_angle_gamma 90.00
_space_group_name_H-M_alt 'P 4/m m m'
_space_group_IT_number 123
_space_group_name_Hall '-P 4 2'
loop_
_atom_site_label
_atom_site_fract_x
_atom_site_fract_y
_atom_site_fract_z
Re1 0.0000 0.0000 0.0000
Se1 0.0000 0.0000 0.5000
Cl1 0.5000 0.5000 0.1584

=====

# Sr3CdPt PBE-GGA optimized geometry
# E_tot: -2.91 eV/atom
# Energy of formation: -49.13 kJ/mol of atoms
# Crystal system: orthorhombic
# Energy above the most stable polymorph in this dataset: 0.00 kcal/mol of atoms
data_Sr3CdPt
_cell_length_a 8.3977
_cell_length_b 4.8495
_cell_length_c 17.3682
_cell_angle_alpha 90.00
_cell_angle_beta 90.00
_cell_angle_gamma 90.00
_space_group_name_H-M_alt 'P n m a'
_space_group_IT_number 62
loop_
_space_group_symop_operation_xyz
'x,y,z'
'-x,-y,-z'
'-x+1/2,-y,z+1/2'
'x+1/2,y,-z+1/2'
'x+1/2,-y+1/2,-z+1/2'
'-x+1/2,y+1/2,z+1/2'
'-x,y+1/2,-z'
'x,-y+1/2,z'
loop_
_atom_site_label
_atom_site_fract_x
_atom_site_fract_y
_atom_site_fract_z
Sr1 0.0134 0.2500 0.0950
Sr2 0.1338 0.7500 0.4539
Sr3 0.1786 0.2500 0.7110
Cd1 0.1166 0.2500 0.3078
Pt1 0.2335 0.7500 0.0412